(1)
Computed, not measured: a PBEsol-optimized structure of MoOsN3 at the SCAN level of DFT.

a = 3.819 Å, b = 3.819 Å, c = 3.819 Å
α = 90.00°, β = 90.00°, γ = 90.00°
Atoms (fractional coordinates):
Mo: 0.000 0.000 0.000
Os: 0.500 0.500 0.500
N: 0.000 0.500 0.500
N: 0.500 0.000 0.500
N: 0.500 0.500 0.000

Results
ΔE_f (raw) (meV per atom): 1246
SG: Pm-3m

(2)
Computed, not measured: a PBEsol-optimized structure of MoP2N at the SCAN level of DFT.

a = 5.263 Å, b = 5.263 Å, c = 5.263 Å
α = 120.06°, β = 120.06°, γ = 89.90°
Atoms (fractional coordinates):
Mo: 0.000 0.000 0.000
Mo: 0.750 0.250 0.500
P: 0.197 0.125 0.572
P: 0.375 0.803 0.928
P: 0.553 0.625 0.428
P: 0.875 0.447 0.072
N: 0.250 0.750 0.500
N: 0.500 0.500 0.000

Results
ΔE_f (raw) (meV per atom): 349
SG: I-42d

In eV per atom, the electronic total energy values for the records above are, in order, -25.682; -15.894.
In Mg/m³, the calculated density values for the records above are, in order, 9.8; 5.5.